A plane-wave DFT calculation with GGA-PBE was carried out for a relaxed structure of NaLa2YSe4.

Unit cell a=7.285 b=4.236 c=7.387 alpha=90.00 beta=109.41 gamma=90.00
Space group P2/m (No. 10)
Symmetry-distinct sites (fractional):
1 Na 0.000 0.000 0.000 (multiplicity 1)
2 La 0.500 0.000 0.500 (multiplicity 1)
3 La 0.500 0.500 0.000 (multiplicity 1)
4 Y 0.000 0.500 0.500 (multiplicity 1)
5 Se 0.235 0.000 0.743 (multiplicity 2)
6 Se 0.240 0.500 0.252 (multiplicity 2)

## Properties
As for the uncorrected formation energy: -1819 meV/atom. For the density of states at the Fermi level, the calculation gives 3.17 states/eV/cell. For the calculated density, the calculation gives 5.4 g/cm3.